# 1
# PBE Na7SiTe6, relaxed
# formation energy (no corrections): -0.648 eV per atom
# crystal system: orthorhombic
# N(E_F): 13.071 states/eV/f.u.
# calculated volume: 1989.74 Å³/cell
data_Na7SiTe6
_cell_length_a 7.838
_cell_length_b 15.523
_cell_length_c 16.353
_cell_angle_alpha 90.00
_cell_angle_beta 90.00
_cell_angle_gamma 90.00
_space_group_name_H-M_alt 'I b a m'
_space_group_IT_number 72
_space_group_name_Hall '-I 2 2c'
loop_
_atom_site_label
_atom_site_type_symbol
_atom_site_fract_x
_atom_site_fract_y
_atom_site_fract_z
Na1 Na 0.000 0.000 0.250
Na2 Na 0.134 0.288 0.120
Na3 Na 0.218 0.021 0.000
Si1 Si 0.000 0.500 0.250
Te1 Te 0.072 0.163 0.500
Te2 Te 0.190 0.400 0.332

***

# 2
# PBE Na2SiTe3, relaxed
# formation energy (no corrections): -0.412 eV per atom
# crystal system: monoclinic
# relative energy among the computed polymorphs: 2.06 kcal/mol of atoms
# N(E_F): 1.837 states/eV/f.u.
# calculated volume: 703.98 Å³/cell
data_Na2SiTe3
_cell_length_a 14.859
_cell_length_b 6.607
_cell_length_c 7.403
_cell_angle_alpha 90.00
_cell_angle_beta 104.37
_cell_angle_gamma 90.00
_space_group_name_H-M_alt 'C 1 2/c 1'
_space_group_IT_number 15
loop_
_space_group_symop_operation_xyz
'x,y,z'
'-x,-y,-z'
'-x,y,-z+1/2'
'x,-y,z+1/2'
'x+1/2,y+1/2,z'
'-x+1/2,-y+1/2,-z'
'-x+1/2,y+1/2,-z+1/2'
'x+1/2,-y+1/2,z+1/2'
loop_
_atom_site_label
_atom_site_type_symbol
_atom_site_fract_x
_atom_site_fract_y
_atom_site_fract_z
Na1 Na 0.176 0.009 0.087
Si1 Si 0.000 0.415 0.250
Te1 Te 0.000 0.026 0.250
Te2 Te 0.135 0.496 0.569

***

# 3
# PBE NaSiTe4, relaxed
# formation energy (no corrections): -0.116 eV per atom
# crystal system: monoclinic
# N(E_F): 1.130 states/eV/f.u.
# calculated volume: 732.41 Å³/cell
data_NaSiTe4
_cell_length_a 16.566
_cell_length_b 7.166
_cell_length_c 6.220
_cell_angle_alpha 90.00
_cell_angle_beta 97.31
_cell_angle_gamma 90.00
_space_group_name_H-M_alt 'C 1 2/c 1'
_space_group_IT_number 15
loop_
_space_group_symop_operation_xyz
'x,y,z'
'-x,-y,-z'
'-x,y,-z+1/2'
'x,-y,z+1/2'
'x+1/2,y+1/2,z'
'-x+1/2,-y+1/2,-z'
'-x+1/2,y+1/2,-z+1/2'
'x+1/2,-y+1/2,z+1/2'
loop_
_atom_site_label
_atom_site_type_symbol
_atom_site_fract_x
_atom_site_fract_y
_atom_site_fract_z
Na1 Na 0.000 0.188 0.250
Si1 Si 0.250 0.250 0.000
Te1 Te 0.115 0.464 0.987
Te2 Te 0.167 0.028 0.680

***

# 4
# PBE NaSi2Te6, relaxed
# formation energy (no corrections): -0.108 eV per atom
# crystal system: monoclinic
# N(E_F): 1.392 states/eV/f.u.
# calculated volume: 1417.11 Å³/cell
data_NaSi2Te6
_cell_length_a 15.079
_cell_length_b 14.041
_cell_length_c 6.910
_cell_angle_alpha 90.00
_cell_angle_beta 104.39
_cell_angle_gamma 90.00
_space_group_name_H-M_alt 'C 1 2/c 1'
_space_group_IT_number 15
loop_
_space_group_symop_operation_xyz
'x,y,z'
'-x,-y,-z'
'-x,y,-z+1/2'
'x,-y,z+1/2'
'x+1/2,y+1/2,z'
'-x+1/2,-y+1/2,-z'
'-x+1/2,y+1/2,-z+1/2'
'x+1/2,-y+1/2,z+1/2'
loop_
_atom_site_label
_atom_site_type_symbol
_atom_site_fract_x
_atom_site_fract_y
_atom_site_fract_z
Na1 Na 0.000 0.165 0.250
Si1 Si 0.221 0.447 0.223
Te1 Te 0.120 0.001 0.102
Te2 Te 0.122 0.440 0.472
Te3 Te 0.208 0.269 0.159

***

# 5
# PBE Na2SiTe, relaxed
# formation energy (no corrections): 0.013 eV per atom
# crystal system: cubic
# relative energy among the computed polymorphs: 0.00 kcal/mol of atoms
# N(E_F): 2.499 states/eV/f.u.
# calculated volume: 397.36 Å³/cell
data_Na2SiTe
_cell_length_a 7.352
_cell_length_b 7.352
_cell_length_c 7.352
_cell_angle_alpha 90.00
_cell_angle_beta 90.00
_cell_angle_gamma 90.00
_space_group_name_H-M_alt 'F m -3 m'
_space_group_IT_number 225
_space_group_name_Hall '-F 4 2 3'
loop_
_atom_site_label
_atom_site_type_symbol
_atom_site_fract_x
_atom_site_fract_y
_atom_site_fract_z
Na1 Na 0.250 0.250 0.250
Si1 Si 0.000 0.000 0.000
Te1 Te 0.000 0.000 0.500

***

# 6
# PBE Na2Si2Te, relaxed
# formation energy (no corrections): 0.237 eV per atom
# crystal system: tetragonal
# N(E_F): 2.258 states/eV/f.u.
# calculated volume: 247.23 Å³/cell
data_Na2Si2Te
_cell_length_a 4.497
_cell_length_b 4.497
_cell_length_c 12.223
_cell_angle_alpha 90.00
_cell_angle_beta 90.00
_cell_angle_gamma 90.00
_space_group_name_H-M_alt 'I 4/m m m'
_space_group_IT_number 139
_space_group_name_Hall '-I 4 2'
loop_
_atom_site_label
_atom_site_type_symbol
_atom_site_fract_x
_atom_site_fract_y
_atom_site_fract_z
Na1 Na 0.000 0.500 0.250
Si1 Si 0.000 0.000 0.090
Te1 Te 0.000 0.000 0.500